VASP calculation (GGA+U) on a relaxed structure of Sm2ErVO6.

Values from the calculation:
Crystal system   monoclinic
Raw total energy   -164.92 eV/cell
Magnetic moment   2.0 μB/f.u.

Cell: 5.5797 5.8410 8.1728 Å, 90.00 90.93 90.00°
Last column: nearest neighbours and their distance in Å.
Sites, in units of the cell vectors:
O: 0.2940 0.6889 0.0646  1 V 2.04, 1 Er 2.22
O: 0.6824 0.2936 0.5667  1 V 2.06, 1 Er 2.22
O: 0.8176 0.7936 0.9333  1 V 2.06, 1 Er 2.22
O: 0.8739 0.5531 0.2409  1 V 2.12, 1 Er 2.24, 1 Sm 2.30
O: 0.7060 0.3111 0.9354  1 V 2.04, 1 Er 2.22
O: 0.7940 0.8111 0.5646  1 V 2.04, 1 Er 2.22
O: 0.1824 0.2064 0.0667  1 V 2.06, 1 Er 2.22
O: 0.3176 0.7064 0.4333  1 V 2.06, 1 Er 2.22
O: 0.6261 0.0531 0.2591  1 V 2.12, 1 Er 2.24, 1 Sm 2.30
O: 0.1261 0.4469 0.7591  1 V 2.12, 1 Er 2.24, 1 Sm 2.30
O: 0.3739 0.9469 0.7409  1 V 2.12, 1 Er 2.24, 1 Sm 2.30
O: 0.2060 0.1889 0.4354  1 V 2.04, 1 Er 2.22
Sm: 0.9797 0.0604 0.7508  4 O 2.30-2.40
Sm: 0.4797 0.4396 0.2508  4 O 2.30-2.40
Sm: 0.5203 0.5604 0.7492  4 O 2.30-2.40
Sm: 0.0203 0.9396 0.2492  4 O 2.30-2.40
V: 0.0000 0.5000 0.0000  6 O 2.04-2.12
V: 0.5000 0.0000 0.5000  6 O 2.04-2.12
Er: 0.0000 0.5000 0.5000  6 O 2.22-2.24
Er: 0.5000 0.0000 0.0000  6 O 2.22-2.24